Record 1
CuNi2Cl | PBE-GGA | optimized geometry

Properties
SG: No. 160
Theoretical density in kg/m3: 6678
Electronic total energy in eV/f.u.: -16.40
Total magnetic moment in μB/f.u.: 1.21
D(E_F) in states/eV/f.u.: 4.46
Excess energy over the best structure of this formula in the dataset in eV/atom: 0.116

Cell lengths 7.5662, 7.5662, 7.5662 Å; angles 22.11, 22.11, 22.11 degrees
Last column: magnetic moment on the atom in μB.
Fractional coordinates of all 4 atoms:
Cl (0.5056, 0.5056, 0.5056)  0.09
Cu (0.7470, 0.7470, 0.7470)  0.01
Ni (0.9967, 0.9967, 0.9967)  0.47
Ni (0.2506, 0.2506, 0.2506)  0.71

---

Record 2
Cu2NiCl | PBE-GGA | optimized geometry

Properties
SG: No. 119
Theoretical density in kg/m3: 6857
Electronic total energy in eV/f.u.: -13.95
Total magnetic moment in μB/f.u.: 0.00
D(E_F) in states/eV/f.u.: 3.36
Excess energy over the best structure of this formula in the dataset in eV/atom: 0.367

Cell lengths 4.6679, 4.6679, 4.6679 Å; angles 132.91, 132.91, 68.80 degrees
Fractional coordinates of all 4 atoms:
Cl (0.7500, 0.2500, 0.5000)
Cu (0.0000, 0.0000, 0.0000)
Cu (0.2500, 0.7500, 0.5000)
Ni (0.5000, 0.5000, 0.0000)

---

Record 3
Cu2NiCl | PBE-GGA | optimized geometry

Properties
SG: No. 65
Theoretical density in kg/m3: 6809
Electronic total energy in eV/f.u.: -14.21
Total magnetic moment in μB/f.u.: 0.00
D(E_F) in states/eV/f.u.: 2.20
Excess energy over the best structure of this formula in the dataset in eV/atom: 0.303

Cell lengths 5.6838, 4.5368, 2.8822 Å; angles 89.94, 59.63, 117.76 degrees
Fractional coordinates of all 4 atoms:
Cl (0.5000, 0.5000, 0.0000)
Cu (0.0000, 0.0000, 0.0000)
Cu (0.5000, 0.0000, 0.5000)
Ni (0.0000, 0.5000, 0.5000)

---

Record 4
CuNi2Cl | PBE-GGA | optimized geometry

Properties
SG: No. 6
Theoretical density in kg/m3: 6290
Electronic total energy in eV/f.u.: -16.87
Total magnetic moment in μB/f.u.: 1.40
D(E_F) in states/eV/f.u.: 4.68
Excess energy over the best structure of this formula in the dataset in eV/atom: 0.000

Cell lengths 2.9710, 3.0326, 6.3402 Å; angles 89.84, 90.00, 90.00 degrees
Last column: magnetic moment on the atom in μB.
Fractional coordinates of all 4 atoms:
Cl (0.0000, 0.4956, 0.4875)  0.06
Cu (0.5000, 0.5027, 0.8002)  0.04
Ni (0.0000, 0.0014, 0.0129)  0.65
Ni (0.5000, 0.5003, 0.1993)  0.71

---

The lowest D(E_F) belongs to which entry? number 3